DFT (PBE-GGA) results for an optimized crystal structure of NaHg3N.

Lattice parameters (Å, degrees): 6.061 6.061 6.061 90.00 90.00 90.00
Sites, in units of the cell vectors:
Na 0.000 0.000 0.000
Hg 0.000 0.000 0.500
Hg 0.000 0.500 0.000
Hg 0.500 0.000 0.000
N 0.500 0.500 0.500

Results
Offset from the most stable computed form (meV per atom): 394
Uncorrected energy (eV for the cell shown): -5.305
Energy relative to the elements, uncorrected (meV/atom): 1049